# BaYCl2

An optimized crystal structure of BaYCl2 (PBE, the Alexandria database).

Calculated values
The electronic total energy comes out at -4.361 eV/atom. The volume comes out at 251.0 Å³/cell. The calculation puts the size of the total moment at 0.0 μB per formula unit. The energy above the lowest structure with this stoichiometry is 0.1211 eV/atom.

```
data_BaYCl2
_symmetry_space_group_name_H-M 'C m m m'
_symmetry_Int_Tables_number 65
_symmetry_space_group_name_Hall '-C 2 2'
_cell_length_a 3.6737
_cell_length_b 7.1328
_cell_length_c 9.5802
_cell_angle_alpha 90.00
_cell_angle_beta 90.00
_cell_angle_gamma 90.00
loop_
_atom_site_label
_atom_site_type_symbol
_atom_site_fract_x
_atom_site_fract_y
_atom_site_fract_z
_atom_site_occupancy
Ba1 Ba 0.0000 0.0000 0.0000 1
Y1 Y 0.0000 0.0000 0.5000 1
Cl1 Cl 0.0000 0.5000 0.2744 1
```